(1)
First-principles (SCAN) data for a PBEsol-optimized structure of CaCoOsAu2, as listed in Alexandria via LeMat-Bulk.

Computed properties:
ΔH_f (0 K), meV per atom: 2143
E_tot, Ha/atom: -1.664

Structure (CIF):
```
data_CaCoOsAu2
_cell_length_a 4.9208
_cell_length_b 4.9208
_cell_length_c 4.6757
_cell_angle_alpha 90.00
_cell_angle_beta 90.00
_cell_angle_gamma 90.00
_symmetry_space_group_name_H-M 'P 4/m m m'
_symmetry_Int_Tables_number 123
_symmetry_space_group_name_Hall '-P 4 2'
loop_
_atom_site_label
_atom_site_fract_x
_atom_site_fract_y
_atom_site_fract_z
Ca1 0.0000 0.0000 0.0000
Co1 0.5000 0.5000 0.5000
Os1 0.0000 0.0000 0.5000
Au1 0.0000 0.5000 0.0000
```

(2)
First-principles (SCAN) data for a PBEsol-optimized structure of CaCr3Au, as listed in Alexandria via LeMat-Bulk.

Computed properties:
ΔH_f (0 K), meV per atom: 2283
E_tot, Ha/atom: -0.901

Structure (CIF):
```
data_CaCr3Au
_cell_length_a 4.1944
_cell_length_b 4.1944
_cell_length_c 4.1944
_cell_angle_alpha 90.00
_cell_angle_beta 90.00
_cell_angle_gamma 90.00
_symmetry_space_group_name_H-M 'P m -3 m'
_symmetry_Int_Tables_number 221
_symmetry_space_group_name_Hall '-P 4 2 3'
loop_
_atom_site_label
_atom_site_fract_x
_atom_site_fract_y
_atom_site_fract_z
Ca1 0.0000 0.0000 0.0000
Cr1 0.0000 0.0000 0.5000
Au1 0.5000 0.5000 0.5000
```

(3)
First-principles (SCAN) data for a PBEsol-optimized structure of CaCrAu2, as listed in Alexandria via LeMat-Bulk.

Computed properties:
ΔH_f (0 K), meV per atom: -308
E_tot, Ha/atom: -1.540

Structure (CIF):
```
data_CaCrAu2
_cell_length_a 6.7031
_cell_length_b 6.7031
_cell_length_c 6.7031
_cell_angle_alpha 90.00
_cell_angle_beta 90.00
_cell_angle_gamma 90.00
_symmetry_space_group_name_H-M 'F -4 3 m'
_symmetry_Int_Tables_number 216
_symmetry_space_group_name_Hall 'F -4 2 3'
loop_
_atom_site_label
_atom_site_fract_x
_atom_site_fract_y
_atom_site_fract_z
Ca1 0.0000 0.0000 0.0000
Cr1 0.2500 0.2500 0.2500
Au1 0.0000 0.0000 0.5000
Au2 0.2500 0.2500 0.7500
```

(4)
First-principles (SCAN) data for a PBEsol-optimized structure of Cs2CaAu, as listed in Alexandria via LeMat-Bulk.

Computed properties:
ΔH_f (0 K), meV per atom: 246
E_tot, Ha/atom: -1.410

Structure (CIF):
```
data_Cs2CaAu
_cell_length_a 9.0951
_cell_length_b 9.0951
_cell_length_c 9.0951
_cell_angle_alpha 90.00
_cell_angle_beta 90.00
_cell_angle_gamma 90.00
_symmetry_space_group_name_H-M 'F m -3 m'
_symmetry_Int_Tables_number 225
_symmetry_space_group_name_Hall '-F 4 2 3'
loop_
_atom_site_label
_atom_site_fract_x
_atom_site_fract_y
_atom_site_fract_z
Cs1 0.2500 0.2500 0.2500
Ca1 0.0000 0.0000 0.0000
Au1 0.0000 0.0000 0.5000
```

The lowest E_tot belongs to which entry? CaCoOsAu2

Look up the ΔH_f (0 K) of the second one. 2283 meV per atom

What is the ΔH_f (0 K) in the second record? 2283 meV per atom

Please write out number 1 again, unchanged.
First-principles (SCAN) data for a PBEsol-optimized structure of CaCoOsAu2, as listed in Alexandria via LeMat-Bulk.

Computed properties:
ΔH_f (0 K), meV per atom: 2143
E_tot, Ha/atom: -1.664

Structure (CIF):
```
data_CaCoOsAu2
_cell_length_a 4.9208
_cell_length_b 4.9208
_cell_length_c 4.6757
_cell_angle_alpha 90.00
_cell_angle_beta 90.00
_cell_angle_gamma 90.00
_symmetry_space_group_name_H-M 'P 4/m m m'
_symmetry_Int_Tables_number 123
_symmetry_space_group_name_Hall '-P 4 2'
loop_
_atom_site_label
_atom_site_fract_x
_atom_site_fract_y
_atom_site_fract_z
Ca1 0.0000 0.0000 0.0000
Co1 0.5000 0.5000 0.5000
Os1 0.0000 0.0000 0.5000
Au1 0.0000 0.5000 0.0000
```